Nd3PtI: optimized geometry, PBE.

```
Nd3PtI
1.0
3.972 0.000 0.000
0.000 9.715 0.000
0.000 0.000 8.664
Nd Pt I
6 2 2
Direct
0.250 0.071 0.165 Nd
0.250 0.250 0.762 Nd
0.250 0.429 0.165 Nd
0.750 0.571 0.835 Nd
0.750 0.750 0.238 Nd
0.750 0.929 0.835 Nd
0.250 0.750 0.003 Pt
0.750 0.250 0.997 Pt
0.250 0.750 0.558 I
0.750 0.250 0.442 I
```

Calculated values
total energy	-5.111	eV per atom
calculated volume	33.44	A^3/atom
ρ	7.50	g/cm3
size of the total moment	0.000	μB per atom
E_form (uncorrected)	-732	meV/atom
symmetry	Pmmn (59)